No. 1
InN: optimized geometry, PBE.

POSCAR file:
```
InN
1.0
-1.8037 -2.6460 5.2369
-4.3103 -3.1197 -3.0608
2.3206 -2.6679 -0.5487
In N
4 4
direct
0.3172 0.3172 0.0000 In
0.8172 0.1828 0.5000 In
0.1828 0.8172 0.5000 In
0.6828 0.6828 0.0000 In
0.3215 0.6785 0.0000 N
0.8215 0.8215 0.5000 N
0.1785 0.1785 0.5000 N
0.6785 0.3215 0.0000 N
```

Results
- offset from the most stable computed form (eV per atom) = 0.038



No. 2
NaInN: optimized geometry, PBE.

POSCAR file:
```
NaInN
1.0
-3.1358 -5.0468 2.8503
3.6342 -3.1136 -1.5148
4.5604 1.8595 7.1189
Na In N
4 4 4
direct
0.8494 0.4849 0.1591 Na
0.3494 0.0151 0.1591 Na
0.6506 0.9849 0.8409 Na
0.1506 0.5151 0.8409 Na
0.8772 0.2537 0.5444 In
0.3772 0.2462 0.5444 In
0.6228 0.7538 0.4556 In
0.1228 0.7463 0.4556 In
0.0017 0.8814 0.0023 N
0.5017 0.6186 0.0023 N
0.4983 0.3814 0.9977 N
0.9983 0.1186 0.9977 N
```



No. 3
NaInN: optimized geometry, PBE.

POSCAR file:
```
NaInN
1.0
3.5120 0.0000 0.0000
-1.7560 3.0415 0.0000
0.0000 0.0000 10.8670
Na N In
2 2 2
direct
0.6667 0.3333 0.7606 Na
0.3333 0.6667 0.2606 Na
0.6667 0.3333 0.4064 N
0.3333 0.6667 0.9064 N
0.0000 0.0000 0.4883 In
0.0000 0.0000 0.9883 In
```



No. 4
NaInN2: optimized geometry, PBE.

POSCAR file:
```
NaInN2
1.0
5.6533 -1.2128 4.3875
6.1683 -3.4398 1.6736
7.1254 -0.0356 1.3813
Na N In
1 2 1
direct
0.5000 0.5000 0.5000 Na
0.9048 0.9048 0.9048 N
0.0952 0.0952 0.0952 N
0.0000 0.0000 0.0000 In
```



No. 5
Na2InN: optimized geometry, PBE.

POSCAR file:
```
Na2InN
1.0
5.9270 0.0000 0.0000
0.0000 5.9270 0.0000
2.9635 2.9635 6.5634
Na N In
4 2 2
direct
0.4033 0.1250 0.2500 Na
0.3467 0.6250 0.2500 Na
0.3750 0.5967 0.7500 Na
0.8750 0.6533 0.7500 Na
0.5000 0.5000 0.0000 N
0.2500 0.7500 0.5000 N
0.0000 0.0000 0.0000 In
0.7500 0.2500 0.5000 In
```

Results
- offset from the most stable computed form (eV per atom) = 0.050



No. 6
Na3InN: optimized geometry, PBE.

POSCAR file:
```
Na3InN
1.0
4.8501 0.0000 0.0000
0.0000 4.8501 0.0000
0.0000 0.0000 4.8501
Na N In
3 1 1
direct
0.0000 0.5000 0.0000 Na
0.0000 0.0000 0.5000 Na
0.5000 0.0000 0.0000 Na
0.0000 0.0000 0.0000 N
0.5000 0.5000 0.5000 In
```

Results
- offset from the most stable computed form (eV per atom) = 0.000



Energy relative to the elements, uncorrected per entry: 0.129; 0.025; 0.173; 1.235; 0.773; 0.320 eV/atom
Total moment per entry: 0.00; 1.78; 1.25; 2.00; 0.00; 0.00 μB/cell